Record 1
The following is a DFT calculation (meta-GGA SCAN) of a PBEsol-optimized structure of LiFe2Cl.

Unit cell a=3.0762 b=3.0762 c=6.3783 alpha=90.00 beta=90.00 gamma=90.00
Last column: nearest neighbours and their distance in Å.
Fractional coordinates of all 4 atoms:
Li (0.0000, 0.0000, 0.0000)  4 Cl 2.29
Fe (0.0000, 0.0000, 0.5682)  4 Fe 2.41
Fe (0.5000, 0.5000, 0.7299)  4 Fe 2.41, 1 Cl 2.44
Cl (0.5000, 0.5000, 0.1121)  4 Li 2.29, 1 Fe 2.44

Total DFT energy (no corrections): -47.73 eV/cell
Total magnetic moment: 5.82 Bohr magnetons per cell
Relative energy among the computed polymorphs: 0.12 eV per formula unit


Record 2
The following is a DFT calculation (meta-GGA SCAN) of a PBEsol-optimized structure of Fe2Rh.

Unit cell a=11.3376 b=11.3376 c=11.3376 alpha=161.69 beta=161.69 gamma=26.01
Last column: nearest neighbours and their distance in Å.
Fractional coordinates of all 12 atoms:
Fe (0.0418, 0.7918, 0.2500)  6 Rh 2.55-2.60, 6 Fe 2.56-2.59
Fe (0.1243, 0.3743, 0.7500)  4 Rh 2.55-2.57, 8 Fe 2.55-2.59
Fe (0.2082, 0.9582, 0.2500)  6 Rh 2.55-2.60, 6 Fe 2.56-2.59
Fe (0.3743, 0.1243, 0.2500)  4 Rh 2.55-2.57, 8 Fe 2.55-2.59
Fe (0.6257, 0.8757, 0.7500)  4 Rh 2.55-2.57, 8 Fe 2.55-2.59
Fe (0.7918, 0.0418, 0.7500)  6 Rh 2.55-2.60, 6 Fe 2.56-2.59
Fe (0.8757, 0.6257, 0.2500)  4 Rh 2.55-2.57, 8 Fe 2.55-2.59
Fe (0.9582, 0.2082, 0.7500)  6 Rh 2.55-2.60, 6 Fe 2.56-2.59
Rh (0.2930, 0.5430, 0.7500)  10 Fe 2.55-2.60, 2 Rh 2.62
Rh (0.4570, 0.7070, 0.7500)  10 Fe 2.55-2.60, 2 Rh 2.62
Rh (0.5430, 0.2930, 0.2500)  10 Fe 2.55-2.60, 2 Rh 2.62
Rh (0.7070, 0.4570, 0.2500)  10 Fe 2.55-2.60, 2 Rh 2.62

Energy of formation: -50 meV per atom
Total DFT energy (no corrections): -280.72 eV/cell
Total magnetic moment: 25.49 Bohr magnetons per cell


Record 3
The following is a DFT calculation (meta-GGA SCAN) of a PBEsol-optimized structure of Zr2MoOs.

Unit cell a=5.5305 b=5.5305 c=5.5305 alpha=146.05 beta=131.41 gamma=60.59
Last column: nearest neighbours and their distance in Å.
Fractional coordinates of all 4 atoms:
Zr (0.0000, 0.0000, 0.0000)  4 Mo 2.80, 2 Os 2.89, 2 Zr 3.00
Zr (0.7353, 0.2353, 0.5000)  4 Os 2.79, 2 Mo 2.92, 2 Zr 3.00
Mo (0.4799, 0.4799, 0.0000)  2 Os 2.72, 6 Zr 2.80-2.92
Os (0.2507, 0.7507, 0.5000)  2 Mo 2.72, 6 Zr 2.79-2.89

Energy of formation: -312 meV per atom
Total DFT energy (no corrections): -169.41 eV/cell
Total magnetic moment: 0.00 Bohr magnetons per cell


Record 4
The following is a DFT calculation (meta-GGA SCAN) of a PBEsol-optimized structure of Ta2NiP.

Unit cell a=4.5377 b=4.5377 c=4.5377 alpha=127.81 beta=127.81 gamma=76.93
Last column: nearest neighbours and their distance in Å.
Fractional coordinates of all 4 atoms:
Ta (0.2500, 0.7500, 0.5000)  4 P 2.67, 4 Ni 2.67, 4 Ta 2.82
Ta (0.7500, 0.2500, 0.5000)  4 P 2.67, 4 Ni 2.67, 4 Ta 2.82
Ni (0.0000, 0.0000, 0.0000)  8 Ta 2.67, 4 P 2.82
P (0.5000, 0.5000, 0.0000)  8 Ta 2.67, 4 Ni 2.82

Energy of formation: -266 meV per atom
Total DFT energy (no corrections): -160.80 eV/cell
Total magnetic moment: 0.00 Bohr magnetons per cell


Record 5
The following is a DFT calculation (meta-GGA SCAN) of a PBEsol-optimized structure of NiHg2P.

Unit cell a=5.0189 b=5.0189 c=5.0189 alpha=132.71 beta=132.71 gamma=69.10
Last column: nearest neighbours and their distance in Å.
Fractional coordinates of all 4 atoms:
Ni (0.0000, 0.0000, 0.0000)  4 P 2.85, 8 Hg 2.88
Hg (0.2500, 0.7500, 0.5000)  4 Hg 2.85, 4 P 2.88, 4 Ni 2.88
Hg (0.7500, 0.2500, 0.5000)  4 Hg 2.85, 4 P 2.88, 4 Ni 2.88
P (0.5000, 0.5000, 0.0000)  4 Ni 2.85, 8 Hg 2.88

Energy of formation: 595 meV per atom
Total DFT energy (no corrections): -160.52 eV/cell
Total magnetic moment: 0.00 Bohr magnetons per cell


Record 6
The following is a DFT calculation (meta-GGA SCAN) of a PBEsol-optimized structure of KCo2Br.

Unit cell a=8.4449 b=8.4449 c=8.4449 alpha=147.36 beta=147.36 gamma=46.82
Last column: nearest neighbours and their distance in Å.
Fractional coordinates of all 8 atoms:
K (0.3750, 0.6250, 0.7500)  8 Co 3.28, 4 Br 3.36
K (0.6250, 0.3750, 0.2500)  8 Co 3.28, 4 Br 3.36
Co (0.0000, 0.0000, 0.0000)  2 Br 2.27, 2 Co 2.37
Co (0.0000, 0.0000, 0.5000)  2 Br 2.27, 2 Co 2.37
Co (0.0000, 0.5000, 0.0000)  2 Br 2.27, 2 Co 2.37
Co (0.5000, 0.0000, 0.5000)  2 Br 2.27, 2 Co 2.37
Br (0.1250, 0.8750, 0.2500)  4 Co 2.27
Br (0.8750, 0.1250, 0.7500)  4 Co 2.27

Total DFT energy (no corrections): -119.56 eV/cell
Total magnetic moment: 4.34 Bohr magnetons per cell
Relative energy among the computed polymorphs: 2.05 eV per formula unit


Record 7
The following is a DFT calculation (meta-GGA SCAN) of a PBEsol-optimized structure of HfPd2Se.

Unit cell a=7.1546 b=7.1546 c=7.1546 alpha=133.97 beta=133.97 gamma=67.14
Last column: nearest neighbours and their distance in Å.
Fractional coordinates of all 8 atoms:
Hf (0.0000, 0.0000, 0.0000)  4 Pd 2.54
Hf (0.7500, 0.2500, 0.5000)  4 Pd 2.54
Pd (0.1441, 0.6250, 0.0191)  2 Se 2.42, 2 Hf 2.54
Pd (0.3750, 0.3941, 0.5191)  2 Se 2.42, 2 Hf 2.54
Pd (0.6059, 0.1250, 0.9809)  2 Se 2.42, 2 Hf 2.54
Pd (0.8750, 0.8559, 0.4809)  2 Se 2.42, 2 Hf 2.54
Se (0.2500, 0.7500, 0.5000)  4 Pd 2.42
Se (0.5000, 0.5000, 0.0000)  4 Pd 2.42

Total DFT energy (no corrections): -297.70 eV/cell
Total magnetic moment: 0.00 Bohr magnetons per cell


Record 8
The following is a DFT calculation (meta-GGA SCAN) of a PBEsol-optimized structure of SeNClF2.

Unit cell a=4.8081 b=4.8081 c=3.2179 alpha=90.00 beta=90.00 gamma=90.00
Last column: nearest neighbours and their distance in Å.
Fractional coordinates of all 5 atoms:
Se (0.0000, 0.0000, 0.0000)  8 F 2.89, 2 Se 3.22
N (0.5000, 0.5000, 0.0000)  2 Cl 1.61
Cl (0.5000, 0.5000, 0.5000)  2 N 1.61
F (0.0000, 0.5000, 0.5000)  2 Cl 2.40
F (0.5000, 0.0000, 0.5000)  2 Cl 2.40

Total DFT energy (no corrections): -39.71 eV/cell
Total magnetic moment: 2.24 Bohr magnetons per cell